No. 1
The following is a DFT calculation (PBE-GGA) of a relaxed structure of Tb2Nd7Th.

Properties
Formation energy from the elements = 0.39 eV per atom
Space-group type = Cmmm, No. 65

Unit cell a=10.503 b=10.503 c=3.488 alpha=90.00 beta=90.00 gamma=108.99
Positions (direct):
Tb (0.166, 0.834, 0.000)
Tb (0.834, 0.166, 0.000)
Nd (0.127, 0.381, 0.000)
Nd (0.325, 0.675, 0.500)
Nd (0.381, 0.127, 0.000)
Nd (0.500, 0.500, 0.000)
Nd (0.619, 0.873, 0.000)
Nd (0.675, 0.325, 0.500)
Nd (0.873, 0.619, 0.000)
Th (0.000, 0.000, 0.500)

No. 2
The following is a DFT calculation (PBE-GGA) of a relaxed structure of Pa2AlHg.

Properties
Formation energy from the elements = 0.29 eV per atom
Energy above the lowest structure with this stoichiometry = 1.35 eV per formula unit
Space-group type = R-3m, No. 166

Unit cell a=11.826 b=11.826 c=11.826 alpha=15.06 beta=15.06 gamma=15.06
Positions (direct):
Pa (0.086, 0.086, 0.086)
Pa (0.914, 0.914, 0.914)
Al (0.000, 0.000, 0.000)
Hg (0.500, 0.500, 0.500)

No. 3
The following is a DFT calculation (PBE-GGA) of a relaxed structure of CsPaPbS4.

Properties
E_form (uncorrected) = -1.24 eV per atom
Space-group type = Imma, No. 74

Unit cell a=8.529 b=8.529 c=8.529 alpha=120.62 beta=109.18 gamma=99.33
Positions (direct):
Cs (0.433, 0.183, 0.250)
Cs (0.567, 0.817, 0.750)
Pa (0.000, 0.000, 0.500)
Pa (0.000, 0.500, 0.000)
Pb (0.000, 0.500, 0.500)
Pb (0.500, 0.500, 0.000)
S (0.160, 0.239, 0.921)
S (0.183, 0.761, 0.421)
S (0.232, 0.271, 0.538)
S (0.232, 0.694, 0.962)
S (0.768, 0.306, 0.038)
S (0.768, 0.729, 0.462)
S (0.817, 0.239, 0.579)
S (0.840, 0.761, 0.079)

No. 4
The following is a DFT calculation (PBE-GGA) of a relaxed structure of PrGa4Cu2Pd.

Properties
Formation energy from the elements = -0.40 eV per atom
Space-group type = R-3m, No. 166

Unit cell a=9.432 b=9.432 c=9.432 alpha=25.86 beta=25.86 gamma=25.86
Positions (direct):
Pr (0.000, 0.000, 0.000)
Ga (0.128, 0.128, 0.128)
Ga (0.402, 0.402, 0.402)
Ga (0.598, 0.598, 0.598)
Ga (0.872, 0.872, 0.872)
Cu (0.238, 0.238, 0.238)
Cu (0.762, 0.762, 0.762)
Pd (0.500, 0.500, 0.500)

No. 5
The following is a DFT calculation (PBE-GGA) of a relaxed structure of Cs2RbHBr.

Properties
Space-group type = P4/mmm, No. 123

Unit cell a=6.326 b=6.326 c=5.778 alpha=90.00 beta=90.00 gamma=90.00
Positions (direct):
Cs (0.000, 0.500, 0.000)
Cs (0.500, 0.000, 0.000)
Rb (0.000, 0.000, 0.500)
H (0.000, 0.000, 0.000)
Br (0.500, 0.500, 0.500)

No. 6
The following is a DFT calculation (PBE-GGA) of a relaxed structure of BaTl3Ag.

Properties
Formation energy from the elements = -0.20 eV per atom
Space-group type = Pnma, No. 62

Unit cell a=9.914 b=4.939 c=12.657 alpha=90.00 beta=90.00 gamma=90.00
Positions (direct):
Ba (0.200, 0.250, 0.001)
Ba (0.300, 0.750, 0.501)
Ba (0.700, 0.250, 0.499)
Ba (0.800, 0.750, 0.999)
Tl (0.071, 0.250, 0.401)
Tl (0.118, 0.750, 0.202)
Tl (0.127, 0.750, 0.797)
Tl (0.373, 0.250, 0.297)
Tl (0.382, 0.250, 0.702)
Tl (0.429, 0.750, 0.901)
Tl (0.571, 0.250, 0.099)
Tl (0.618, 0.750, 0.298)
Tl (0.627, 0.750, 0.703)
Tl (0.873, 0.250, 0.203)
Tl (0.882, 0.250, 0.798)
Tl (0.929, 0.750, 0.599)
Ag (0.096, 0.250, 0.639)
Ag (0.404, 0.750, 0.139)
Ag (0.596, 0.250, 0.861)
Ag (0.904, 0.750, 0.361)

No. 7
The following is a DFT calculation (PBE-GGA) of a relaxed structure of LuScPaNb.

Properties
Formation energy from the elements = 0.22 eV per atom
Space-group type = F-43m, No. 216

Unit cell a=5.096 b=5.096 c=5.096 alpha=60.00 beta=60.00 gamma=60.00
Positions (direct):
Lu (0.000, 0.000, 0.000)
Sc (0.750, 0.750, 0.750)
Pa (0.500, 0.500, 0.500)
Nb (0.250, 0.250, 0.250)

No. 8
The following is a DFT calculation (PBE-GGA) of a relaxed structure of KLiCo.

Properties
Formation energy from the elements = 0.76 eV per atom
Energy above the lowest structure with this stoichiometry = 1.16 eV per formula unit
Space-group type = I4mm, No. 107

Unit cell a=6.539 b=6.539 c=6.539 alpha=149.51 beta=149.51 gamma=43.66
Positions (direct):
K (0.000, 0.000, 0.000)
Li (0.730, 0.730, 0.000)
Co (0.288, 0.288, 0.000)

Listing magnetization for the structures above in their given order: 0.0 0.1 0.0 0.0 0.0 0.0 0.0 1.3 μB per formula unit.
Listing DOS at the Fermi energy for the structures above in their given order: 16.5 7.7 0.0 2.9 2.7 12.5 9.2 3.7 states/eV per cell.
Listing DFT total energy for the structures above in their given order: -4.62 -5.47 -5.60 -4.19 -2.10 -2.58 -7.39 -2.61 eV/atom.